Entry 1:
The following is a PBE calculation of NdHoBe2Si2 after structural relaxation, from the Open Quantum Materials Database.

Results
- total DFT energy (no corrections) (eV/atom) = -5.236
- calculated volume (Å³/cell) = 109
- calculated density (Mg/m³) = 5.8

Cell lengths 3.9087, 3.9087, 8.2455 Å; angles 90.00, 90.00, 120.00 degrees
Closest atoms and distances in Å follow each position.
Positions (direct):
Nd (0.0000, 0.0000, 0.0000)  6 Be 3.11, 6 Si 3.12
Ho (0.0000, 0.0000, 0.5000)  6 Si 3.00, 6 Be 3.01
Be (0.3333, 0.6667, 0.7409)  3 Si 2.26
Be (0.6667, 0.3333, 0.2591)  3 Si 2.26
Si (0.3333, 0.6667, 0.2606)  3 Be 2.26
Si (0.6667, 0.3333, 0.7394)  3 Be 2.26

---

Entry 2:
The following is a PBE calculation of HoBeO3 after structural relaxation, from the Open Quantum Materials Database.

Results
- total DFT energy (no corrections) (eV/atom) = -7.130
- calculated volume (Å³/cell) = 88
- calculated density (Mg/m³) = 8.4

Cell lengths 4.8971, 4.8971, 4.8971 Å; angles 62.59, 62.59, 62.59 degrees
Closest atoms and distances in Å follow each position.
Positions (direct):
Ho (0.2500, 0.2500, 0.2500)  9 O 2.28-2.46
Ho (0.7500, 0.7500, 0.7500)  9 O 2.28-2.46
Be (0.0000, 0.0000, 0.0000)  6 O 1.79
Be (0.5000, 0.5000, 0.5000)  6 O 1.79
O (0.1977, 0.7500, 0.3023)  2 Be 1.79
O (0.2500, 0.6977, 0.8023)  2 Be 1.79
O (0.3023, 0.1977, 0.7500)  2 Be 1.79
O (0.6977, 0.8023, 0.2500)  2 Be 1.79
O (0.7500, 0.3023, 0.1977)  2 Be 1.79
O (0.8023, 0.2500, 0.6977)  2 Be 1.79

---

Entry 3:
The following is a PBE calculation of Ho2Be2O5 after structural relaxation, from the Open Quantum Materials Database.

Results
- E above lowest polymorph (eV per formula unit) = 11.98
- calculated volume (Å³/cell) = 122
- calculated density (Mg/m³) = 5.8

Cell lengths 3.7720, 3.7720, 8.5542 Å; angles 90.00, 90.00, 90.00 degrees
Closest atoms and distances in Å follow each position.
Positions (direct):
Ho (0.0000, 0.0000, 0.2405)  5 O 2.11-2.22
Ho (0.0000, 0.0000, 0.7595)  5 O 2.11-2.22
Be (0.5000, 0.5000, 0.0000)  8 O 2.19
Be (0.5000, 0.5000, 0.5000)  4 O 2.67
O (0.0000, 0.0000, 0.5000)  2 Ho 2.22
O (0.0000, 0.5000, 0.1304)  2 Ho 2.11, 2 Be 2.19, 1 O 2.23
O (0.0000, 0.5000, 0.8696)  2 Ho 2.11, 2 Be 2.19, 1 O 2.23
O (0.5000, 0.0000, 0.1304)  2 Ho 2.11, 2 Be 2.19, 1 O 2.23
O (0.5000, 0.0000, 0.8696)  2 Ho 2.11, 2 Be 2.19, 1 O 2.23

---

Entry 4:
The following is a PBE calculation of Ho2Be2O5 after structural relaxation, from the Open Quantum Materials Database.

Results
- E above lowest polymorph (eV per formula unit) = 0.00
- calculated volume (Å³/cell) = 85
- calculated density (Mg/m³) = 8.4

Cell lengths 3.5596, 3.5596, 6.6898 Å; angles 90.00, 90.00, 90.00 degrees
Closest atoms and distances in Å follow each position.
Positions (direct):
Ho (0.0000, 0.0000, 0.0000)  12 O 2.52-2.58
Ho (0.0000, 0.0000, 0.5000)  8 O 2.31
Be (0.5000, 0.5000, 0.2347)  1 O 1.57
Be (0.5000, 0.5000, 0.7653)  1 O 1.57
O (0.0000, 0.5000, 0.2800)  2 Be 1.81
O (0.0000, 0.5000, 0.7200)  2 Be 1.81
O (0.5000, 0.0000, 0.2800)  2 Be 1.81
O (0.5000, 0.0000, 0.7200)  2 Be 1.81
O (0.5000, 0.5000, 0.0000)  2 Be 1.57

---

Entry 5:
The following is a PBE calculation of HoBeO3 after structural relaxation, from the Open Quantum Materials Database.

Results
- total DFT energy (no corrections) (eV/atom) = -7.184
- calculated volume (Å³/cell) = 47
- calculated density (Mg/m³) = 7.8

Cell lengths 3.2942, 3.2942, 4.3618 Å; angles 90.00, 90.00, 90.00 degrees
Closest atoms and distances in Å follow each position.
Positions (direct):
Ho (0.0000, 0.0000, 0.0000)  8 O 2.33-2.40
Be (0.5000, 0.5000, 0.5027)  5 O 1.61-1.73
O (0.0000, 0.5000, 0.6230)  2 Be 1.73
O (0.5000, 0.0000, 0.6230)  2 Be 1.73
O (0.5000, 0.5000, 0.1337)  1 Be 1.61

---

Entry 6:
The following is a PBE calculation of HoBeO3 after structural relaxation, from the Open Quantum Materials Database.

Results
- total DFT energy (no corrections) (eV/atom) = -7.014
- calculated volume (Å³/cell) = 113
- calculated density (Mg/m³) = 6.5

Cell lengths 5.5182, 5.5182, 5.5182 Å; angles 57.81, 57.81, 57.81 degrees
Closest atoms and distances in Å follow each position.
Positions (direct):
Ho (0.1377, 0.1377, 0.1377)  6 O 2.22-2.30
Ho (0.8623, 0.8623, 0.8623)  6 O 2.22-2.30
Be (0.3979, 0.3979, 0.3979)  3 O 1.59
Be (0.6021, 0.6021, 0.6021)  3 O 1.59
O (0.1029, 0.6827, 0.4680)  1 Be 1.59
O (0.3173, 0.5320, 0.8971)  1 Be 1.59
O (0.4680, 0.1029, 0.6827)  1 Be 1.59
O (0.5320, 0.8971, 0.3173)  1 Be 1.59
O (0.6827, 0.4680, 0.1029)  1 Be 1.59
O (0.8971, 0.3173, 0.5320)  1 Be 1.59

---

Entry 7:
The following is a PBE calculation of HoBeO3 after structural relaxation, from the Open Quantum Materials Database.

Results
- total DFT energy (no corrections) (eV/atom) = -7.144
- calculated volume (Å³/cell) = 184
- calculated density (Mg/m³) = 8.0

Cell lengths 5.3032, 7.0378, 4.9313 Å; angles 90.00, 90.00, 90.00 degrees
Closest atoms and distances in Å follow each position.
Positions (direct):
Ho (0.0679, 0.2500, 0.0210)  8 O 2.28-2.40
Ho (0.4321, 0.7500, 0.5210)  8 O 2.28-2.40
Ho (0.5679, 0.2500, 0.4790)  8 O 2.28-2.40
Ho (0.9321, 0.7500, 0.9790)  8 O 2.28-2.40
Be (0.0000, 0.0000, 0.5000)  6 O 1.77-1.94
Be (0.0000, 0.5000, 0.5000)  6 O 1.77-1.94
Be (0.5000, 0.0000, 0.0000)  6 O 1.77-1.94
Be (0.5000, 0.5000, 0.0000)  6 O 1.77-1.94
O (0.0093, 0.7500, 0.4346)  2 Be 1.79
O (0.2198, 0.5356, 0.8099)  2 Be 1.77-1.94
O (0.2198, 0.9644, 0.8099)  2 Be 1.77-1.94
O (0.2802, 0.0356, 0.3099)  2 Be 1.77-1.94
O (0.2802, 0.4644, 0.3099)  2 Be 1.77-1.94
O (0.4907, 0.2500, 0.9346)  2 Be 1.79
O (0.5093, 0.7500, 0.0654)  2 Be 1.79
O (0.7198, 0.5356, 0.6901)  2 Be 1.77-1.94
O (0.7198, 0.9644, 0.6901)  2 Be 1.77-1.94
O (0.7802, 0.0356, 0.1901)  2 Be 1.77-1.94
O (0.7802, 0.4644, 0.1901)  2 Be 1.77-1.94
O (0.9907, 0.2500, 0.5654)  2 Be 1.79

---

Entry 8:
The following is a PBE calculation of Ho2BeO4 after structural relaxation, from the Open Quantum Materials Database.

Results
- total DFT energy (no corrections) (eV/atom) = -7.540
- calculated volume (Å³/cell) = 173
- calculated density (Mg/m³) = 7.7

Cell lengths 6.2560, 6.2560, 6.2560 Å; angles 60.00, 60.00, 60.00 degrees
Closest atoms and distances in Å follow each position.
Positions (direct):
Ho (0.0000, 0.0000, 0.0000)  6 O 2.26
Ho (0.0000, 0.0000, 0.5000)  6 O 2.26
Ho (0.0000, 0.5000, 0.0000)  6 O 2.26
Ho (0.5000, 0.0000, 0.0000)  6 O 2.26
Be (0.3750, 0.3750, 0.3750)  4 O 1.83
Be (0.6250, 0.6250, 0.6250)  4 O 1.83
O (0.2554, 0.2554, 0.2554)  1 Be 1.83
O (0.2554, 0.2554, 0.7337)  1 Be 1.83
O (0.2554, 0.7337, 0.2554)  1 Be 1.83
O (0.2663, 0.7446, 0.7446)  1 Be 1.83
O (0.7337, 0.2554, 0.2554)  1 Be 1.83
O (0.7446, 0.2663, 0.7446)  1 Be 1.83
O (0.7446, 0.7446, 0.2663)  1 Be 1.83
O (0.7446, 0.7446, 0.7446)  1 Be 1.83

---

Entry 9:
The following is a PBE calculation of HoBePO after structural relaxation, from the Open Quantum Materials Database.

Results
- E above lowest polymorph (eV per formula unit) = 1.31
- calculated volume (Å³/cell) = 114
- calculated density (Mg/m³) = 6.4

Cell lengths 3.0982, 5.6227, 6.5443 Å; angles 90.00, 90.00, 90.00 degrees
Closest atoms and distances in Å follow each position.
Positions (direct):
Ho (0.0000, 0.2202, 0.0000)  2 O 2.23-2.26
Ho (0.0000, 0.7798, 0.5000)  2 O 2.23-2.26
Be (0.5000, 0.2632, 0.3784)  2 O 1.75
Be (0.5000, 0.7368, 0.8784)  2 O 1.75
P (0.5000, 0.4064, 0.6831)  2 Be 2.15-2.26
P (0.5000, 0.5936, 0.1831)  2 Be 2.15-2.26
O (0.0000, 0.1274, 0.3367)  2 Be 1.75
O (0.0000, 0.8726, 0.8367)  2 Be 1.75

---

Entry 10:
The following is a PBE calculation of HoBePO after structural relaxation, from the Open Quantum Materials Database.

Results
- E above lowest polymorph (eV per formula unit) = 5.62
- calculated volume (Å³/cell) = 141
- calculated density (Mg/m³) = 5.2

Cell lengths 3.9404, 3.9404, 9.0594 Å; angles 90.00, 90.00, 90.00 degrees
Closest atoms and distances in Å follow each position.
Positions (direct):
Ho (0.2500, 0.7500, 0.0000)  4 P 2.66, 4 Ho 2.79
Ho (0.7500, 0.2500, 0.0000)  4 P 2.66, 4 Ho 2.79
Be (0.2500, 0.2500, 0.4905)  4 O 1.97
Be (0.7500, 0.7500, 0.5095)  4 O 1.97
P (0.2500, 0.2500, 0.1967)  4 Ho 2.66, 1 Be 2.66
P (0.7500, 0.7500, 0.8033)  4 Ho 2.66, 1 Be 2.66
O (0.2500, 0.7500, 0.5000)  4 Be 1.97
O (0.7500, 0.2500, 0.5000)  4 Be 1.97

---

Entry 11:
The following is a PBE calculation of HoBePO after structural relaxation, from the Open Quantum Materials Database.

Results
- E above lowest polymorph (eV per formula unit) = 0.13
- calculated volume (Å³/cell) = 129
- calculated density (Mg/m³) = 5.7

Cell lengths 4.0998, 5.8096, 5.4064 Å; angles 90.00, 90.00, 90.00 degrees
Closest atoms and distances in Å follow each position.
Positions (direct):
Ho (0.0000, 0.2473, 0.0000)  2 O 2.23
Ho (0.0000, 0.7527, 0.5000)  2 O 2.23
Be (0.5000, 0.3846, 0.6216)  2 O 1.67-1.71
Be (0.5000, 0.6154, 0.1216)  2 O 1.67-1.71
P (0.0000, 0.2316, 0.5074)  2 Be 2.32
P (0.0000, 0.7684, 0.0074)  2 Be 2.32
O (0.5000, 0.3849, 0.9375)  2 Be 1.67-1.71
O (0.5000, 0.6151, 0.4375)  2 Be 1.67-1.71

---

Entry 12:
The following is a PBE calculation of HoBePO after structural relaxation, from the Open Quantum Materials Database.

Results
- E above lowest polymorph (eV per formula unit) = 0.00
- calculated volume (Å³/cell) = 116
- calculated density (Mg/m³) = 6.3

Cell lengths 3.7315, 3.7315, 8.3160 Å; angles 90.00, 90.00, 90.00 degrees
Closest atoms and distances in Å follow each position.
Positions (direct):
Ho (0.2500, 0.2500, 0.1393)  4 O 2.20
Ho (0.7500, 0.7500, 0.8607)  4 O 2.20
Be (0.2500, 0.7500, 0.5000)  4 P 2.25
Be (0.7500, 0.2500, 0.5000)  4 P 2.25
P (0.2500, 0.2500, 0.6503)  4 Be 2.25
P (0.7500, 0.7500, 0.3497)  4 Be 2.25
O (0.2500, 0.7500, 0.0000)  4 Ho 2.20
O (0.7500, 0.2500, 0.0000)  4 Ho 2.20